Record 1
Material: Ca2CdAg
Method: DFT, PBEsol
State: optimized geometry

D(E_F)	2.51	states/eV/cell
formation enthalpy at 0 K	-246	meV/atom

abc: 3.561 5.337 5.958
angles: 107.72 107.39 90.00
Sites, in units of the cell vectors:
Ca 0.975 0.943 0.949
Ca 0.770 0.300 0.540
Ag 0.227 0.769 0.454
Cd 0.529 0.487 0.057

=====

Record 2
Material: CaCdAg2
Method: DFT, PBEsol
State: optimized geometry

D(E_F)	1.59	states/eV/cell
formation enthalpy at 0 K	-164	meV/atom

abc: 3.517 4.476 5.734
angles: 90.00 107.98 90.00
Sites, in units of the cell vectors:
Ca 0.537 0.000 0.448
Ag 0.800 0.000 0.976
Ag 0.945 0.500 0.264
Cd 0.218 0.500 0.812

=====

Record 3
Material: CaCdAg4
Method: DFT, PBEsol
State: optimized geometry

D(E_F)	2.99	states/eV/cell
formation enthalpy at 0 K	-205	meV/atom

abc: 5.496 5.496 5.496
angles: 60.00 60.00 60.00
Sites, in units of the cell vectors:
Ca 0.750 0.750 0.750
Ag 0.375 0.375 0.375
Ag 0.375 0.375 0.876
Ag 0.876 0.375 0.375
Ag 0.375 0.876 0.375
Cd 0.000 0.000 0.000

=====

Record 4
Material: CaCdAg2
Method: DFT, PBEsol
State: optimized geometry

D(E_F)	1.94	states/eV/cell
formation enthalpy at 0 K	-185	meV/atom

abc: 4.874 4.874 4.874
angles: 60.00 60.00 60.00
Sites, in units of the cell vectors:
Ca 0.500 0.500 0.500
Ag 0.000 0.000 0.000
Ag 0.750 0.750 0.750
Cd 0.250 0.250 0.250

=====

Record 5
Material: CaCdAg2
Method: DFT, PBEsol
State: optimized geometry

D(E_F)	1.28	states/eV/cell
formation enthalpy at 0 K	-191	meV/atom

abc: 3.552 3.552 6.626
angles: 90.00 90.00 90.00
Sites, in units of the cell vectors:
Ca 0.000 0.000 0.487
Ag 0.000 0.000 0.007
Ag 0.500 0.500 0.217
Cd 0.500 0.500 0.790

=====

Record 6
Material: CaCdAg2
Method: DFT, PBEsol
State: optimized geometry

D(E_F)	1.46	states/eV/cell
formation enthalpy at 0 K	-190	meV/atom

abc: 3.392 3.646 6.726
angles: 90.00 89.98 90.00
Sites, in units of the cell vectors:
Ca 0.500 0.500 0.500
Ag 0.000 0.000 0.219
Ag 0.000 0.000 0.781
Cd 0.500 0.500 0.000

=====

Record 7
Material: CaCdAg2
Method: DFT, PBEsol
State: optimized geometry

D(E_F)	1.57	states/eV/cell
formation enthalpy at 0 K	-202	meV/atom

abc: 4.376 4.376 5.259
angles: 114.59 114.59 90.00
Sites, in units of the cell vectors:
Ca 0.500 0.500 0.000
Ag 0.000 0.000 0.000
Ag 0.750 0.250 0.500
Cd 0.250 0.750 0.500

=====

Record 8
Material: Ca2CdAgHg
Method: DFT, PBEsol
State: optimized geometry

D(E_F)	2.94	states/eV/cell
formation enthalpy at 0 K	-40	meV/atom

abc: 5.072 5.579 5.579
angles: 90.00 90.00 90.00
Sites, in units of the cell vectors:
Ca 0.000 0.000 0.500
Ca 0.000 0.500 0.000
Hg 0.500 0.500 0.500
Ag 0.000 0.000 0.000
Cd 0.500 0.000 0.000

=====

Record 9
Material: CaCdAg2O
Method: DFT, PBEsol
State: optimized geometry

uncorrected formation energy	0.01	eV per atom
D(E_F)	1.87	states/eV/cell

abc: 4.195 5.190 5.190
angles: 90.00 90.00 90.00
Sites, in units of the cell vectors:
Ca 0.500 0.500 0.500
O 0.500 0.000 0.000
Ag 0.000 0.000 0.500
Ag 0.000 0.500 0.000
Cd 0.000 0.000 0.000

=====

Record 10
Material: CaCeAg2
Method: DFT, PBEsol
State: optimized geometry

D(E_F)	8.54	states/eV/cell
formation enthalpy at 0 K	-120	meV/atom

abc: 5.146 5.146 5.146
angles: 60.00 60.00 60.00
Each line ends with the local moment (μB).
Sites, in units of the cell vectors:
Ca 0.500 0.500 0.500  0.01
Ce 0.000 0.000 0.000  0.01
Ag 0.750 0.750 0.750  0.01
Ag 0.250 0.250 0.250  0.83

=====

no.,E (hartree per atom)
1,-0.090
2,-0.097
3,-0.109
4,-0.098
5,-0.098
6,-0.098
7,-0.099
8,-0.070
9,-0.111
10,-0.145